# 1
! SrSbRhI2 PBE optimized geometry; values from VASP
! ΔE_f (raw) = -416.8 meV per atom
! Energy relative to the lowest polymorph listed for this composition = 0 meV per atom
! Symmetry = P4/mmm (123)
&SYSTEM
  ibrav = 0, nat = 5, ntyp = 4
/
ATOMIC_SPECIES
I 126.90 I.upf
Sb 121.76 Sb.upf
Rh 102.91 Rh.upf
Sr 87.62 Sr.upf
CELL_PARAMETERS angstrom
5.5789 0.0000 0.0000
0.0000 5.5789 0.0000
0.0000 0.0000 5.1930
ATOMIC_POSITIONS angstrom
I 0.0000 2.7894 0.0000
I 2.7894 0.0000 0.0000
Sb 0.0000 0.0000 2.5965
Rh 0.0000 0.0000 0.0000
Sr 2.7894 2.7894 2.5965



# 2
! LaPr3Cd2 PBE optimized geometry; values from VASP
! Calculated formation energy = -0.2112 eV/atom
! Symmetry = P4/mmm (123)
&SYSTEM
  ibrav = 0, nat = 6, ntyp = 3
/
ATOMIC_SPECIES
La 138.91 La.upf
Pr 140.91 Pr.upf
Cd 112.41 Cd.upf
CELL_PARAMETERS angstrom
-1.6079 -2.0561 -2.8067
-0.9727 -2.7030 2.5373
-11.2849 6.0023 2.0680
ATOMIC_POSITIONS angstrom
La -6.9328 0.6217 0.8993
Pr 0.0000 0.0000 0.0000
Pr -7.8508 4.1758 1.4387
Pr -3.4340 1.8265 0.6293
Cd -10.8416 2.7007 1.6157
Cd -3.0239 -1.4574 0.1830



# 3
! HfNb2S4 PBE optimized geometry; values from VASP
! ΔE_f (raw) = -319.2 meV per atom
! Symmetry = I4/mmm (139)
&SYSTEM
  ibrav = 0, nat = 7, ntyp = 3
/
ATOMIC_SPECIES
Nb 92.91 Nb.upf
Hf 178.49 Hf.upf
S 32.06 S.upf
CELL_PARAMETERS angstrom
5.0085 0.0000 0.0000
0.0000 5.0085 0.0000
2.5042 2.5042 6.0741
ATOMIC_POSITIONS angstrom
Nb 2.5042 2.5042 1.1857
Nb 5.0085 5.0085 4.8884
Hf 0.0000 0.0000 0.0000
S 2.5042 2.5042 3.6301
S 5.0085 5.0085 2.4439
S 0.0000 2.5042 0.0000
S 2.5042 0.0000 0.0000



# 4
! La2YHo5Er PBE optimized geometry; values from VASP
! Calculated formation energy = 0.1431 eV/atom
! Symmetry = Cmc2_1 (36)
&SYSTEM
  ibrav = 0, nat = 18, ntyp = 4
/
ATOMIC_SPECIES
La 138.91 La.upf
Y 88.91 Y.upf
Ho 164.93 Ho.upf
Er 167.26 Er.upf
CELL_PARAMETERS angstrom
5.6411 0.0000 0.0000
-2.8206 9.9226 0.0000
0.0000 0.0000 10.6983
ATOMIC_POSITIONS angstrom
La 2.8206 7.6415 8.7486
La 0.0000 2.2430 7.8441
La 0.0000 2.2811 3.3994
La 2.8206 7.6796 2.4949
Y 2.8206 1.7361 10.2828
Y 0.0000 8.1865 4.9337
Ho 0.0000 7.6825 0.2245
Ho 2.8206 4.3534 8.6459
Ho 0.0000 9.5346 7.9123
Ho 0.0000 5.9397 7.5680
Ho 2.8206 9.6021 5.6060
Ho 2.8206 2.2401 5.5737
Ho 0.0000 5.5692 3.2968
Ho 2.8206 0.3880 2.5631
Ho 2.8206 3.9829 2.2189
Ho 0.0000 0.3205 0.2568
Er 2.8206 5.9389 5.4745
Er 0.0000 3.9837 0.1253